Run P
Compound: CrTc2Au
Source: Alexandria
Functional: PBE-GGA
Structure: optimized geometry

calculated density = 12.60 g/cm³

abc: 3.908 3.908 7.680
angles: 90.00 90.00 90.00
Atoms (fractional coordinates):
Cr1 0.000 0.000 0.000
Cr2 0.500 0.500 0.500
Tc1 0.000 0.000 0.500
Tc2 0.000 0.500 0.250
Tc3 0.500 0.000 0.750
Tc4 0.500 0.500 0.000
Au1 0.000 0.500 0.750
Au2 0.500 0.000 0.250

***

Run Q
Compound: CrTc2Au
Source: Alexandria
Functional: PBE-GGA
Structure: optimized geometry

calculated density = 11.06 g/cm³

abc: 3.768 3.768 18.817
angles: 90.00 90.00 90.00
Atoms (fractional coordinates):
Cr1 0.000 0.000 0.000
Cr2 0.000 0.500 0.250
Cr3 0.500 0.000 0.750
Cr4 0.500 0.500 0.500
Tc1 0.202 0.250 0.125
Tc2 0.250 0.702 0.375
Tc3 0.250 0.798 0.875
Tc4 0.298 0.250 0.625
Tc5 0.702 0.750 0.625
Tc6 0.750 0.202 0.875
Tc7 0.750 0.298 0.375
Tc8 0.798 0.750 0.125
Au1 0.000 0.000 0.500
Au2 0.000 0.500 0.750
Au3 0.500 0.000 0.250
Au4 0.500 0.500 0.000

***

Best to worst by energy: run P, run Q.

***

Run P
Compound: CrTc2Au
Source: Alexandria
Functional: PBE-GGA
Structure: optimized geometry

calculated density = 12.45 g/cm³

abc: 2.753 2.753 27.123
angles: 90.00 90.00 120.00
Atoms (fractional coordinates):
Cr1 0.000 0.000 0.000
Cr2 0.333 0.667 0.667
Cr3 0.667 0.333 0.333
Tc1 0.000 0.000 0.259
Tc2 0.000 0.000 0.741
Tc3 0.333 0.667 0.408
Tc4 0.333 0.667 0.925
Tc5 0.667 0.333 0.075
Tc6 0.667 0.333 0.592
Au1 0.000 0.000 0.500
Au2 0.333 0.667 0.167
Au3 0.667 0.333 0.833

***

Run Q
Compound: CrTc2Au
Source: Alexandria
Functional: PBE-GGA
Structure: optimized geometry

calculated density = 12.46 g/cm³

abc: 2.799 3.763 5.631
angles: 90.00 90.00 90.00
Atoms (fractional coordinates):
Cr1 0.000 0.000 0.000
Tc1 0.500 0.500 0.212
Tc2 0.500 0.500 0.788
Au1 0.000 0.000 0.500

***

Best to worst by energy: run Q, run P.

***

Run P
Compound: CrTc2Au
Source: Alexandria
Functional: PBE-GGA
Structure: optimized geometry

calculated density = 12.44 g/cm³

abc: 2.748 2.748 27.253
angles: 90.00 90.00 120.00
Atoms (fractional coordinates):
Cr1 0.000 0.000 0.000
Cr2 0.333 0.667 0.667
Cr3 0.667 0.333 0.333
Tc1 0.000 0.000 0.491
Tc2 0.000 0.000 0.746
Tc3 0.333 0.667 0.158
Tc4 0.333 0.667 0.413
Tc5 0.667 0.333 0.079
Tc6 0.667 0.333 0.825
Au1 0.000 0.000 0.249
Au2 0.333 0.667 0.916
Au3 0.667 0.333 0.583

***

Run Q
Compound: CrTc2Au
Source: Alexandria
Functional: PBE-GGA
Structure: optimized geometry

calculated density = 12.32 g/cm³

abc: 2.973 4.393 9.185
angles: 90.00 90.00 90.00
Atoms (fractional coordinates):
Cr1 0.000 0.000 0.000
Cr2 0.500 0.500 0.500
Tc1 0.000 0.500 0.285
Tc2 0.000 0.500 0.715
Tc3 0.500 0.000 0.215
Tc4 0.500 0.000 0.785
Au1 0.000 0.000 0.500
Au2 0.500 0.500 0.000

***

Best to worst by energy: run P, run Q.

***

Run P
Compound: CrTc2Au
Source: Alexandria
Functional: PBE-GGA
Structure: optimized geometry

calculated density = 12.27 g/cm³

abc: 3.218 3.218 5.815
angles: 90.00 90.00 90.00
Atoms (fractional coordinates):
Cr1 0.000 0.000 0.000
Tc1 0.000 0.000 0.419
Tc2 0.500 0.500 0.188
Au1 0.500 0.500 0.716

***

Run Q
Compound: CrTc2Au
Source: Alexandria
Functional: PBE-GGA
Structure: optimized geometry

calculated density = 12.35 g/cm³

abc: 9.102 2.811 4.771
angles: 90.00 101.51 90.00
Atoms (fractional coordinates):
Cr1 0.000 0.000 0.000
Cr2 0.500 0.500 0.000
Tc1 0.236 0.500 0.220
Tc2 0.486 0.000 0.432
Tc3 0.736 0.000 0.220
Tc4 0.986 0.500 0.432
Au1 0.244 0.000 0.726
Au2 0.744 0.500 0.726

***

Best to worst by energy: run Q, run P.

***

Run P
Compound: CrTc2Au
Source: Alexandria
Functional: PBE-GGA
Structure: optimized geometry

calculated density = 12.70 g/cm³

abc: 3.872 3.872 7.762
angles: 90.00 90.00 90.00
Atoms (fractional coordinates):
Cr1 0.000 0.000 0.000
Cr2 0.500 0.500 0.500
Tc1 0.000 0.500 0.250
Tc2 0.000 0.500 0.750
Tc3 0.500 0.000 0.250
Tc4 0.500 0.000 0.750
Au1 0.000 0.000 0.500
Au2 0.500 0.500 0.000

***

Run Q
Compound: CrTc2Au
Source: Alexandria
Functional: PBE-GGA
Structure: optimized geometry

calculated density = 12.47 g/cm³

abc: 6.189 6.189 6.189
angles: 90.00 90.00 90.00
Atoms (fractional coordinates):
Cr1 0.000 0.000 0.000
Cr2 0.000 0.500 0.500
Cr3 0.500 0.000 0.500
Cr4 0.500 0.500 0.000
Tc1 0.250 0.250 0.250
Tc2 0.250 0.250 0.750
Tc3 0.250 0.750 0.250
Tc4 0.250 0.750 0.750
Tc5 0.750 0.250 0.250
Tc6 0.750 0.250 0.750
Tc7 0.750 0.750 0.250
Tc8 0.750 0.750 0.750
Au1 0.000 0.000 0.500
Au2 0.000 0.500 0.000
Au3 0.500 0.000 0.000
Au4 0.500 0.500 0.500

***

Run R
Compound: CrTc2Au
Source: Alexandria
Functional: PBE-GGA
Structure: optimized geometry

calculated density = 12.45 g/cm³

abc: 5.414 7.802 2.811
angles: 90.00 90.00 90.00
Atoms (fractional coordinates):
Cr1 0.000 0.000 0.000
Cr2 0.500 0.500 0.000
Tc1 0.250 0.250 0.500
Tc2 0.250 0.750 0.500
Tc3 0.750 0.250 0.500
Tc4 0.750 0.750 0.500
Au1 0.000 0.500 0.000
Au2 0.500 0.000 0.000

***

Run S
Compound: CrTc2Au
Source: Alexandria
Functional: PBE-GGA
Structure: optimized geometry

calculated density = 12.09 g/cm³

abc: 6.253 6.253 6.253
angles: 90.00 90.00 90.00
Atoms (fractional coordinates):
Cr1 0.000 0.000 0.000
Cr2 0.000 0.500 0.500
Cr3 0.500 0.000 0.500
Cr4 0.500 0.500 0.000
Tc1 0.000 0.000 0.500
Tc2 0.000 0.500 0.000
Tc3 0.250 0.250 0.250
Tc4 0.250 0.750 0.750
Tc5 0.500 0.000 0.000
Tc6 0.500 0.500 0.500
Tc7 0.750 0.250 0.750
Tc8 0.750 0.750 0.250
Au1 0.250 0.250 0.750
Au2 0.250 0.750 0.250
Au3 0.750 0.250 0.250
Au4 0.750 0.750 0.750

***

Best to worst by energy: run P, run R, run S, run Q.

***

Run P
Compound: CrTc2Au
Source: Alexandria
Functional: PBE-GGA
Structure: optimized geometry

calculated density = 12.62 g/cm³

abc: 3.834 3.834 3.981
angles: 90.00 90.00 90.00
Atoms (fractional coordinates):
Cr1 0.000 0.000 0.000
Tc1 0.000 0.500 0.500
Tc2 0.500 0.000 0.500
Au1 0.500 0.500 0.000

***

Run Q
Compound: CrTc2Au
Source: Alexandria
Functional: PBE-GGA
Structure: optimized geometry

calculated density = 12.52 g/cm³

abc: 9.130 2.813 4.713
angles: 90.00 102.80 90.00
Atoms (fractional coordinates):
Cr1 0.000 0.000 0.000
Cr2 0.500 0.500 0.000
Tc1 0.237 0.500 0.223
Tc2 0.263 0.000 0.777
Tc3 0.737 0.000 0.223
Tc4 0.763 0.500 0.777
Au1 0.000 0.500 0.500
Au2 0.500 0.000 0.500

***

Best to worst by energy: run P, run Q.

***

Run P
Compound: CrTcAu3
Source: Alexandria
Functional: PBE-GGA
Structure: optimized geometry

calculated density = 11.23 g/cm³

abc: 4.785 4.785 4.785
angles: 90.00 90.00 90.00
Atoms (fractional coordinates):
Cr1 0.000 0.000 0.000
Tc1 0.500 0.500 0.500
Au1 0.000 0.000 0.500
Au2 0.000 0.500 0.000
Au3 0.500 0.000 0.000

***

Run Q
Compound: CrTcAu3
Source: Alexandria
Functional: PBE-GGA
Structure: optimized geometry

calculated density = 10.09 g/cm³

abc: 4.958 4.958 4.958
angles: 90.00 90.00 90.00
Atoms (fractional coordinates):
Cr1 0.000 0.000 0.000
Tc1 0.500 0.500 0.500
Au1 0.000 0.500 0.500
Au2 0.500 0.000 0.500
Au3 0.500 0.500 0.000

***

Best to worst by energy: run P, run Q.

***

Run P
Compound: TlCrAu
Source: Alexandria
Functional: PBE-GGA
Structure: optimized geometry

calculated density = 11.95 g/cm³

abc: 3.367 3.367 6.417
angles: 90.00 90.00 120.00
Atoms (fractional coordinates):
Tl1 0.000 0.000 0.000
Cr1 0.333 0.667 0.655
Au1 0.667 0.333 0.362

***

Run Q
Compound: TlCrAu
Source: Alexandria
Functional: PBE-GGA
Structure: optimized geometry

calculated density = 12.41 g/cm³

abc: 3.585 3.585 9.439
angles: 90.00 90.00 90.00
Atoms (fractional coordinates):
Tl1 0.000 0.000 0.000
Tl2 0.500 0.500 0.500
Cr1 0.000 0.000 0.319
Cr2 0.500 0.500 0.819
Au1 0.000 0.000 0.679
Au2 0.500 0.500 0.179

***

Best to worst by energy: run Q, run P.

***

Run P
Compound: TlCrAu
Source: Alexandria
Functional: PBE-GGA
Structure: optimized geometry

calculated density = 12.31 g/cm³

abc: 4.626 4.626 3.300
angles: 90.00 90.00 120.00
Atoms (fractional coordinates):
Tl1 0.000 0.000 0.000
Cr1 0.333 0.667 0.637
Au1 0.667 0.333 0.331

***

Run Q
Compound: TlCrAu
Source: Alexandria
Functional: PBE-GGA
Structure: optimized geometry

calculated density = 11.13 g/cm³

abc: 6.467 6.467 6.467
angles: 90.00 90.00 90.00
Atoms (fractional coordinates):
Tl1 0.000 0.000 0.000
Tl2 0.000 0.500 0.500
Tl3 0.500 0.000 0.500
Tl4 0.500 0.500 0.000
Cr1 0.250 0.250 0.250
Cr2 0.250 0.750 0.750
Cr3 0.750 0.250 0.750
Cr4 0.750 0.750 0.250
Au1 0.000 0.000 0.500
Au2 0.000 0.500 0.000
Au3 0.500 0.000 0.000
Au4 0.500 0.500 0.500

***

Best to worst by energy: run P, run Q.

***

Run P
Compound: TlCr2Au2
Source: Alexandria
Functional: PBE-GGA
Structure: optimized geometry

calculated density = 12.51 g/cm³

abc: 7.932 7.932 2.963
angles: 90.00 90.00 90.00
Atoms (fractional coordinates):
Tl1 0.000 0.000 0.000
Tl2 0.500 0.500 0.000
Cr1 0.082 0.418 0.500
Cr2 0.418 0.918 0.500
Cr3 0.582 0.082 0.500
Cr4 0.918 0.582 0.500
Au1 0.198 0.698 0.000
Au2 0.302 0.198 0.000
Au3 0.698 0.802 0.000
Au4 0.802 0.302 0.000

***

Run Q
Compound: TlCr2Au2
Source: Alexandria
Functional: PBE-GGA
Structure: optimized geometry

calculated density = 12.93 g/cm³

abc: 3.305 3.305 16.513
angles: 90.00 90.00 90.00
Atoms (fractional coordinates):
Tl1 0.000 0.000 0.000
Tl2 0.500 0.500 0.500
Cr1 0.000 0.500 0.250
Cr2 0.000 0.500 0.750
Cr3 0.500 0.000 0.250
Cr4 0.500 0.000 0.750
Au1 0.000 0.000 0.380
Au2 0.000 0.000 0.620
Au3 0.500 0.500 0.120
Au4 0.500 0.500 0.880

***

Best to worst by energy: run Q, run P.

***

Run P
Compound: VCrAu
Source: Alexandria
Functional: PBE-GGA
Structure: optimized geometry

calculated density = 11.33 g/cm³

abc: 4.603 2.996 6.464
angles: 90.00 99.58 90.00
Atoms (fractional coordinates):
V1 0.000 0.000 0.000
V2 0.500 0.500 0.000
Cr1 0.063 0.500 0.271
Cr2 0.563 0.000 0.271
Au1 0.285 0.000 0.633
Au2 0.785 0.500 0.633

***

Run Q
Compound: VCrAu
Source: Alexandria
Functional: PBE-GGA
Structure: optimized geometry

calculated density = 10.74 g/cm³

abc: 8.221 2.832 8.523
angles: 90.00 110.76 90.00
Atoms (fractional coordinates):
V1 0.029 0.000 0.188
V2 0.471 0.500 0.812
V3 0.529 0.500 0.188
V4 0.971 0.000 0.812
Cr1 0.177 0.500 0.062
Cr2 0.323 0.000 0.938
Cr3 0.677 0.000 0.062
Cr4 0.823 0.500 0.938
Au1 0.173 0.000 0.606
Au2 0.327 0.500 0.394
Au3 0.673 0.500 0.606
Au4 0.827 0.000 0.394

***

Run R
Compound: VCrAu
Source: Alexandria
Functional: PBE-GGA
Structure: optimized geometry

calculated density = 11.42 g/cm³

abc: 2.993 2.993 9.735
angles: 90.00 90.00 90.00
Atoms (fractional coordinates):
V1 0.000 0.000 0.000
V2 0.000 0.000 0.287
Cr1 0.500 0.500 0.137
Cr2 0.500 0.500 0.428
Au1 0.000 0.000 0.607
Au2 0.500 0.500 0.820

***

Run S
Compound: VCrAu
Source: Alexandria
Functional: PBE-GGA
Structure: optimized geometry

calculated density = 11.42 g/cm³

abc: 2.752 3.972 8.093
angles: 90.00 99.69 90.00
Atoms (fractional coordinates):
V1 0.000 0.000 0.000
V2 0.449 0.000 0.284
Cr1 0.171 0.500 0.423
Cr2 0.750 0.500 0.161
Au1 0.400 0.500 0.820
Au2 0.793 0.000 0.615

***

Best to worst by energy: run R, run S, run P, run Q.

***

Run P
Compound: V2CrAu
Source: Alexandria
Functional: PBE-GGA
Structure: optimized geometry

calculated density = 10.32 g/cm³

abc: 2.992 2.992 6.307
angles: 90.00 90.00 90.00
Atoms (fractional coordinates):
V1 0.000 0.000 0.211
V2 0.000 0.000 0.789
Cr1 0.500 0.500 0.000
Au1 0.500 0.500 0.500

***

Run Q
Compound: V2CrAu
Source: Alexandria
Functional: PBE-GGA
Structure: optimized geometry

calculated density = 9.17 g/cm³

abc: 3.698 3.698 18.575
angles: 90.00 90.00 90.00
Atoms (fractional coordinates):
V1 0.233 0.250 0.125
V2 0.250 0.733 0.375
V3 0.250 0.767 0.875
V4 0.267 0.250 0.625
V5 0.733 0.750 0.625
V6 0.750 0.233 0.875
V7 0.750 0.267 0.375
V8 0.767 0.750 0.125
Cr1 0.000 0.000 0.000
Cr2 0.000 0.500 0.250
Cr3 0.500 0.000 0.750
Cr4 0.500 0.500 0.500
Au1 0.000 0.000 0.500
Au2 0.000 0.500 0.750
Au3 0.500 0.000 0.250
Au4 0.500 0.500 0.000

***

Best to worst by energy: run P, run Q.